# Li4Hg3Pb2 GGA-PBE optimized geometry
# offset from the most stable computed form: 0.22 eV/f.u.
# magnetic moment: 0.00 μB/atom
# DFT total energy: -2.0069 eV per atom
# calculated density: 8.8 g/cm3
data_Li4Hg3Pb2
_chemical_formula_sum 'Li16 Hg12 Pb8'
_cell_length_a 6.223
_cell_length_b 15.362
_cell_length_c 8.204
_cell_angle_alpha 90.00
_cell_angle_beta 90.00
_cell_angle_gamma 90.00
_space_group_name_H-M_alt 'C m c e'
_space_group_IT_number 64
_space_group_name_Hall '-C 2ac 2'
loop_
_atom_site_label
_atom_site_fract_x
_atom_site_fract_y
_atom_site_fract_z
Li1 0.000 0.180 0.031
Li2 0.250 0.044 0.750
Hg1 0.000 0.000 0.000
Hg2 0.250 0.220 0.750
Pb1 0.000 0.110 0.420